Below is a relaxed structure of ZrNb2In, with properties calculated at the GGA-PBE level.

It has space group F-43m (No. 216), with a = 6.8404 Å, b = 6.8404 Å, c = 6.8404 Å, α = 90.00°, β = 90.00° and γ = 90.00°. The inequivalent atoms are Zr at (0.0000, 0.0000, 0.0000), Nb at (0.0000, 0.0000, 0.5000), Nb at (0.2500, 0.2500, 0.2500) and In at (0.2500, 0.2500, 0.7500).

The uncorrected energy is -7.8635 eV/atom. The value obtained for the volume is 80 Å³/f.u.

Below is a relaxed structure of SiTcBi2, with properties calculated at the GGA-PBE level.

It has space group F-43m (No. 216), with a = 7.0007 Å, b = 7.0007 Å, c = 7.0007 Å, α = 90.00°, β = 90.00° and γ = 90.00°. The inequivalent atoms are Si at (0.0000, 0.0000, 0.0000), Tc at (0.2500, 0.2500, 0.7500), Bi at (0.0000, 0.0000, 0.5000) and Bi at (0.2500, 0.2500, 0.2500).

The uncorrected energy is -5.1513 eV/atom. The value obtained for the volume is 86 Å³/f.u.

Below is a relaxed structure of ZrBiPb, with properties calculated at the GGA-PBE level.

It has space group F-43m (No. 216), with a = 7.2764 Å, b = 7.2764 Å, c = 7.2764 Å, α = 90.00°, β = 90.00° and γ = 90.00°. The inequivalent atoms are Zr at (0.0000, 0.0000, 0.0000), Bi at (0.2500, 0.2500, 0.7500) and Pb at (0.0000, 0.0000, 0.5000).

The uncorrected energy is -5.0181 eV/atom. The value obtained for the volume is 96 Å³/f.u.

Below is a relaxed structure of ReIBr4, with properties calculated at the GGA-PBE level.

It has space group P-1 (No. 2), with a = 6.6484 Å, b = 7.1753 Å, c = 9.6218 Å, α = 109.36°, β = 90.10° and γ = 116.25°. The inequivalent atoms are Re at (0.1002, 0.2101, 0.2127), I at (0.1376, 0.6080, 0.8509), Br at (0.0681, 0.8182, 0.5672), Br at (0.2385, 0.1825, 0.9538), Br at (0.3082, 0.0092, 0.2416) and Br at (0.4341, 0.5693, 0.3329).

The uncorrected energy is -3.5983 eV/atom. The value obtained for the volume is 191 Å³/f.u.

Below is a relaxed structure of Pr2DyIn3PtAu2, with properties calculated at the GGA-PBE level.

It has space group Amm2 (No. 38), with a = 4.0366 Å, b = 13.5364 Å, c = 7.8196 Å, α = 90.00°, β = 90.00° and γ = 90.00°. The inequivalent atoms are Pr at (0.0000, 0.2023, 0.0000), Dy at (0.0000, 0.0000, 0.6038), In at (0.5000, 0.0000, 0.9512), In at (0.5000, 0.1252, 0.3303), Pt at (0.0000, 0.0000, 0.2092) and Au at (0.5000, 0.1611, 0.7002).

The uncorrected energy is -4.6921 eV/atom. The value obtained for the volume is 214 Å³/f.u.

Below is a relaxed structure of Th2HgOs, with properties calculated at the GGA-PBE level.

It has space group R-3m (No. 166, hexagonal axes), with a = 4.1463 Å, b = 4.1463 Å, c = 23.5249 Å, α = 90.00°, β = 90.00° and γ = 120.00°. The inequivalent atoms are Th at (0.0000, 0.0000, 0.2316), Hg at (0.0000, 0.0000, 0.0000) and Os at (0.0000, 0.0000, 0.5000).

The uncorrected energy is -6.9297 eV/atom. The value obtained for the volume is 117 Å³/f.u.

Below is a relaxed structure of Zn2Hg, with properties calculated at the GGA-PBE level.

It has space group Imma (No. 74), with a = 5.3546 Å, b = 5.3653 Å, c = 7.5882 Å, α = 90.00°, β = 90.00° and γ = 90.00°. The inequivalent atoms are Zn at (0.0000, 0.0000, 0.0000), Zn at (0.2500, 0.2500, 0.2500) and Hg at (0.0000, 0.2500, 0.6247).

The uncorrected energy is -0.8317 eV/atom. The value obtained for the volume is 55 Å³/f.u.

Below is a relaxed structure of LaGaPdPt, with properties calculated at the GGA-PBE level.

It has space group P-3m1 (No. 164), with a = 4.4632 Å, b = 4.4632 Å, c = 9.6854 Å, α = 90.00°, β = 90.00° and γ = 120.00°. The inequivalent atoms are La at (0.3333, 0.6667, 0.2539), Ga at (0.0000, 0.0000, 0.0000), Ga at (0.0000, 0.0000, 0.5000), Pd at (0.3333, 0.6667, 0.9325) and Pt at (0.3333, 0.6667, 0.5758).

The uncorrected energy is -5.7350 eV/atom. The value obtained for the volume is 84 Å³/f.u.

What did the seventh record say?
Below is a relaxed structure of Zn2Hg, with properties calculated at the GGA-PBE level.

It has space group Imma (No. 74), with a = 5.3546 Å, b = 5.3653 Å, c = 7.5882 Å, α = 90.00°, β = 90.00° and γ = 90.00°. The inequivalent atoms are Zn at (0.0000, 0.0000, 0.0000), Zn at (0.2500, 0.2500, 0.2500) and Hg at (0.0000, 0.2500, 0.6247).

The uncorrected energy is -0.8317 eV/atom. The value obtained for the volume is 55 Å³/f.u.

uncorrected energy of number 2 (SiTcBi2)?
-5.1513 eV/atom